Density functional theory data (PBE-GGA) for Sm3SiGe2Rh9 after structural relaxation.

Cell and atoms, written as POSCAR:
```
Sm3SiGe2Rh9
1.0
-2.8260 -1.4115 5.6563
-2.1561 -2.7256 -5.4677
4.9641 -5.9325 0.9998
Sm Si Ge Rh
3 1 2 9
direct
0.3333 0.6667 0.6688
0.0000 0.0000 0.0000
0.6667 0.3333 0.3312
0.0000 0.0000 0.5000
0.3333 0.6667 0.1757
0.6667 0.3333 0.8243
0.8418 0.1582 0.6706
0.8418 0.6837 0.6706
0.3163 0.1582 0.6706
0.6837 0.8418 0.3294
0.1582 0.3163 0.3294
0.1582 0.8418 0.3294
0.5000 0.0000 0.0000
0.0000 0.5000 0.0000
0.5000 0.5000 0.0000
```

Output
The value obtained for the total energy is -6.8149 eV per atom. The total magnetization comes out at 0.00 μB/f.u. The density of states at the Fermi level is 1.30 states/eV/f.u. Its formation energy (no corrections) is -0.483 eV/atom. The symmetry is P-3m1 (164).